# 1
The following is a DFT calculation (PBE) of a relaxed structure of PrNdCd4.

The structure in POSCAR format:
```
PrNdCd4
1.0
0.000 4.255 4.255
4.255 0.000 4.255
4.255 4.255 0.000
Pr Nd Cd
1 1 4
Direct
0.000 0.000 0.000 Pr
0.750 0.750 0.750 Nd
0.375 0.375 0.375 Cd
0.375 0.375 0.875 Cd
0.375 0.875 0.375 Cd
0.875 0.375 0.375 Cd
```

Properties
The value obtained for the total magnetization is 0.000 μB per formula unit. The calculation puts the formation enthalpy at 0 K at -1.85 eV per formula unit. As for the electronic total energy: -2.5101 eV per atom. The space group is F-43m (216). The calculation puts the offset from the most stable computed form at 0.0414 eV per atom.

# 2
The following is a DFT calculation (PBE) of a relaxed structure of CsRb4Au2.

The structure in POSCAR format:
```
CsRb4Au2
1.0
-3.671 3.671 9.350
3.671 -3.671 9.350
3.671 3.671 -9.350
Cs Rb Au
1 4 2
Direct
0.000 0.000 0.000 Cs
0.000 0.500 0.500 Rb
0.253 0.253 0.000 Rb
0.500 0.000 0.500 Rb
0.747 0.747 0.000 Rb
0.427 0.427 0.000 Au
0.573 0.573 0.000 Au
```

Properties
The value obtained for the total magnetization is 0.000 μB per formula unit. The calculation puts the formation enthalpy at 0 K at 0.86 eV per formula unit. As for the electronic total energy: -1.4887 eV per atom. The space group is I4/mmm (139). The calculation puts the offset from the most stable computed form at 0.2828 eV per atom.

# 3
The following is a DFT calculation (PBE) of a relaxed structure of NiRuS2Cl.

The structure in POSCAR format:
```
NiRuS2Cl
1.0
4.527 0.000 0.000
0.000 4.527 0.000
0.000 0.000 4.959
Ni Ru S Cl
1 1 2 1
Direct
0.000 0.000 0.000 Ni
0.500 0.500 0.500 Ru
0.000 0.500 0.500 S
0.500 0.000 0.500 S
0.500 0.500 0.000 Cl
```

Properties
The value obtained for the total magnetization is 1.067 μB per formula unit. As for the electronic total energy: -4.3704 eV per atom. The space group is P4/mmm (123). The calculation puts the offset from the most stable computed form at 0.0000 eV per atom. The formation energy (no corrections) is 0.6614 eV/atom.

# 4
The following is a DFT calculation (PBE) of a relaxed structure of Nd2Sm5Sb5.

The structure in POSCAR format:
```
Nd2Sm5Sb5
1.0
7.219 -2.210 0.000
7.219 2.210 0.000
-3.817 0.000 12.426
Nd Sm Sb
2 5 5
Direct
0.037 0.037 0.281 Nd
0.963 0.963 0.719 Nd
0.272 0.272 0.154 Sm
0.342 0.342 0.458 Sm
0.500 0.500 0.000 Sm
0.658 0.658 0.542 Sm
0.728 0.728 0.846 Sm
0.000 0.000 0.500 Sb
0.123 0.123 0.935 Sb
0.303 0.303 0.700 Sb
0.697 0.697 0.300 Sb
0.877 0.877 0.065 Sb
```

Properties
The value obtained for the total magnetization is 0.005 μB per formula unit. As for the electronic total energy: -5.3738 eV per atom. The space group is C2/m (12). The formation energy (no corrections) is -0.8951 eV/atom.

# 5
The following is a DFT calculation (PBE) of a relaxed structure of ErTm2Cu.

The structure in POSCAR format:
```
ErTm2Cu
1.0
1.767 1.020 9.749
-1.767 1.020 9.749
0.000 -2.041 9.749
Er Tm Cu
1 2 1
Direct
0.000 0.000 0.000 Er
0.235 0.235 0.235 Tm
0.765 0.765 0.765 Tm
0.500 0.500 0.500 Cu
```

Properties
The value obtained for the total magnetization is 0.000 μB per formula unit. The calculation puts the formation enthalpy at 0 K at 0.09 eV per formula unit. As for the electronic total energy: -4.3776 eV per atom. The space group is R-3m (166). The calculation puts the offset from the most stable computed form at 0.1487 eV per atom.

# 6
The following is a DFT calculation (PBE) of a relaxed structure of Rb2SrGe2O6.

The structure in POSCAR format:
```
Rb2SrGe2O6
1.0
5.419 -3.132 0.000
5.419 3.132 0.000
-3.586 0.000 6.603
Rb Sr Ge O
2 1 2 6
Direct
0.202 0.202 0.106 Rb
0.798 0.798 0.894 Rb
0.000 0.000 0.500 Sr
0.415 0.415 0.742 Ge
0.585 0.585 0.258 Ge
0.258 0.258 0.744 O
0.259 0.732 0.748 O
0.268 0.741 0.252 O
0.732 0.259 0.748 O
0.741 0.268 0.252 O
0.742 0.742 0.256 O
```

Properties
The value obtained for the total magnetization is 0.000 μB per formula unit. As for the electronic total energy: -5.7173 eV per atom. The space group is C2/m (12). The formation energy (no corrections) is -1.8445 eV/atom.

# 7
The following is a DFT calculation (PBE) of a relaxed structure of TaTeSe.

The structure in POSCAR format:
```
TaTeSe
1.0
5.874 -2.538 0.000
5.874 2.538 0.000
-2.302 0.000 5.122
Ta Te Se
2 2 2
Direct
0.140 0.140 0.423 Ta
0.860 0.860 0.577 Ta
0.127 0.127 0.895 Te
0.873 0.873 0.105 Te
0.380 0.380 0.610 Se
0.620 0.620 0.390 Se
```

Properties
The value obtained for the total magnetization is 0.000 μB per formula unit. As for the electronic total energy: -6.4508 eV per atom. The space group is C2/m (12). The calculation puts the offset from the most stable computed form at 0.2641 eV per atom. The formation energy (no corrections) is -0.2912 eV/atom.

# 8
The following is a DFT calculation (PBE) of a relaxed structure of Ba4Sr3Tl2.

The structure in POSCAR format:
```
Ba4Sr3Tl2
1.0
9.662 -2.890 0.000
9.662 2.890 0.000
-2.442 0.000 7.989
Ba Sr Tl
4 3 2
Direct
0.066 0.066 0.323 Ba
0.280 0.280 0.788 Ba
0.720 0.720 0.212 Ba
0.934 0.934 0.677 Ba
0.386 0.386 0.308 Sr
0.500 0.500 0.000 Sr
0.614 0.614 0.692 Sr
0.117 0.117 0.941 Tl
0.883 0.883 0.059 Tl
```

Properties
The value obtained for the total magnetization is 0.000 μB per formula unit. The calculation puts the formation enthalpy at 0 K at -1.50 eV per formula unit. As for the electronic total energy: -2.1081 eV per atom. The space group is C2/m (12).

# 9
The following is a DFT calculation (PBE) of a relaxed structure of Sc2TlHg2.

The structure in POSCAR format:
```
Sc2TlHg2
1.0
8.084 0.000 0.000
0.000 8.084 0.000
0.000 0.000 3.551
Sc Tl Hg
4 2 4
Direct
0.170 0.330 0.000 Sc
0.330 0.830 0.000 Sc
0.670 0.170 0.000 Sc
0.830 0.670 0.000 Sc
0.000 0.000 0.500 Tl
0.500 0.500 0.500 Tl
0.129 0.629 0.500 Hg
0.371 0.129 0.500 Hg
0.629 0.871 0.500 Hg
0.871 0.371 0.500 Hg
```

Properties
The value obtained for the total magnetization is 0.000 μB per formula unit. The calculation puts the formation enthalpy at 0 K at -1.33 eV per formula unit. As for the electronic total energy: -3.3925 eV per atom. The space group is P4/mbm (127). The calculation puts the offset from the most stable computed form at 0.0000 eV per atom.

# 10
The following is a DFT calculation (PBE) of a relaxed structure of Li2Mn2Ir.

The structure in POSCAR format:
```
Li2Mn2Ir
1.0
6.591 0.000 0.000
0.000 6.591 0.000
0.000 0.000 2.944
Li Mn Ir
4 4 2
Direct
0.109 0.391 0.000 Li
0.391 0.891 0.000 Li
0.609 0.109 0.000 Li
0.891 0.609 0.000 Li
0.201 0.701 0.500 Mn
0.299 0.201 0.500 Mn
0.701 0.799 0.500 Mn
0.799 0.299 0.500 Mn
0.000 0.000 0.000 Ir
0.500 0.500 0.000 Ir
```

Properties
The value obtained for the total magnetization is 7.028 μB per formula unit. The calculation puts the formation enthalpy at 0 K at 1.49 eV per formula unit. As for the electronic total energy: -5.9068 eV per atom. The space group is P4/mbm (127). The calculation puts the offset from the most stable computed form at 0.0000 eV per atom.

# 11
The following is a DFT calculation (PBE) of a relaxed structure of Na2SnS2.

The structure in POSCAR format:
```
Na2SnS2
1.0
-2.597 2.597 4.304
2.597 -2.597 4.304
2.597 2.597 -4.304
Na Sn S
2 1 2
Direct
0.158 0.158 0.000 Na
0.842 0.842 0.000 Na
0.500 0.500 0.000 Sn
0.250 0.750 0.500 S
0.750 0.250 0.500 S
```

Properties
The value obtained for the total magnetization is 0.000 μB per formula unit. As for the electronic total energy: -3.3447 eV per atom. The space group is I4/mmm (139). The calculation puts the offset from the most stable computed form at 0.4665 eV per atom. The formation energy (no corrections) is -0.3656 eV/atom.

# 12
The following is a DFT calculation (PBE) of a relaxed structure of CsBa3Rh.

The structure in POSCAR format:
```
CsBa3Rh
1.0
6.381 0.000 0.000
0.000 6.381 0.000
0.000 0.000 6.381
Cs Ba Rh
1 3 1
Direct
0.000 0.000 0.000 Cs
0.000 0.500 0.500 Ba
0.500 0.000 0.500 Ba
0.500 0.500 0.000 Ba
0.500 0.500 0.500 Rh
```

Properties
The value obtained for the total magnetization is 0.000 μB per formula unit. The calculation puts the formation enthalpy at 0 K at -0.17 eV per formula unit. As for the electronic total energy: -2.8283 eV per atom. The space group is Pm-3m (221). The calculation puts the offset from the most stable computed form at 0.0000 eV per atom.

# 13
The following is a DFT calculation (PBE) of a relaxed structure of TiCuAs3.

The structure in POSCAR format:
```
TiCuAs3
1.0
4.846 0.000 0.000
0.000 4.846 0.000
0.000 0.000 4.846
Ti Cu As
1 1 3
Direct
0.000 0.000 0.000 Ti
0.500 0.500 0.500 Cu
0.000 0.000 0.500 As
0.000 0.500 0.000 As
0.500 0.000 0.000 As
```

Properties
The value obtained for the total magnetization is 0.000 μB per formula unit. The calculation puts the formation enthalpy at 0 K at 1.99 eV per formula unit. As for the electronic total energy: -4.7889 eV per atom. The space group is Pm-3m (221). The calculation puts the offset from the most stable computed form at 0.0000 eV per atom.

# 14
The following is a DFT calculation (PBE) of a relaxed structure of CsTa3Co.

The structure in POSCAR format:
```
CsTa3Co
1.0
4.797 0.000 0.000
0.000 4.797 0.000
0.000 0.000 4.797
Cs Ta Co
1 3 1
Direct
0.000 0.000 0.000 Cs
0.000 0.500 0.500 Ta
0.500 0.000 0.500 Ta
0.500 0.500 0.000 Ta
0.500 0.500 0.500 Co
```

Properties
The value obtained for the total magnetization is 0.000 μB per formula unit. The calculation puts the formation enthalpy at 0 K at 7.24 eV per formula unit. As for the electronic total energy: -7.2557 eV per atom. The space group is Pm-3m (221). The calculation puts the offset from the most stable computed form at 0.0000 eV per atom.

# 15
The following is a DFT calculation (PBE) of a relaxed structure of Li15Hg2Pd2.

The structure in POSCAR format:
```
Li15Hg2Pd2
1.0
4.131 2.385 5.284
-4.131 2.385 5.284
0.000 -4.770 5.284
Li Hg Pd
15 2 2
Direct
0.000 0.000 0.500 Li
0.000 0.280 0.720 Li
0.000 0.500 0.000 Li
0.000 0.720 0.280 Li
0.188 0.560 0.560 Li
0.280 0.000 0.720 Li
0.280 0.720 0.000 Li
0.440 0.440 0.812 Li
0.440 0.812 0.440 Li
0.500 0.000 0.000 Li
0.560 0.188 0.560 Li
0.560 0.560 0.188 Li
0.720 0.000 0.280 Li
0.720 0.280 0.000 Li
0.812 0.440 0.440 Li
0.284 0.284 0.284 Hg
0.716 0.716 0.716 Hg
0.092 0.092 0.092 Pd
0.908 0.908 0.908 Pd
```

Properties
The value obtained for the total magnetization is 0.000 μB per formula unit. The calculation puts the formation enthalpy at 0 K at -2.33 eV per formula unit. As for the electronic total energy: -2.2121 eV per atom. The space group is R-3m (166).

# 16
The following is a DFT calculation (PBE) of a relaxed structure of LaZrTc2.

The structure in POSCAR format:
```
LaZrTc2
1.0
3.110 0.000 0.000
0.000 3.110 0.000
0.000 0.000 8.761
La Zr Tc
1 1 2
Direct
0.000 0.000 0.000 La
0.500 0.500 0.642 Zr
0.000 0.000 0.422 Tc
0.500 0.500 0.264 Tc
```

Properties
The value obtained for the total magnetization is 0.000 μB per formula unit. The calculation puts the formation enthalpy at 0 K at 0.35 eV per formula unit. As for the electronic total energy: -8.4637 eV per atom. The space group is P4mm (99). The calculation puts the offset from the most stable computed form at 0.0240 eV per atom.

# 17
The following is a DFT calculation (PBE) of a relaxed structure of KIn2Ge2Au6.

The structure in POSCAR format:
```
KIn2Ge2Au6
1.0
6.884 0.000 0.000
-0.093 7.051 0.000
-2.717 -3.509 6.918
K In Ge Au
1 2 2 6
Direct
0.000 0.000 0.000 K
0.242 0.666 0.337 In
0.758 0.334 0.663 In
0.496 0.305 0.998 Ge
0.504 0.695 0.002 Ge
0.159 0.463 0.922 Au
0.480 0.040 0.676 Au
0.484 0.637 0.677 Au
0.516 0.363 0.323 Au
0.520 0.960 0.324 Au
0.841 0.537 0.078 Au
```

Properties
The value obtained for the total magnetization is 0.000 μB per formula unit. The calculation puts the formation enthalpy at 0 K at -0.83 eV per formula unit. As for the electronic total energy: -3.3004 eV per atom. The space group is P-1 (2).

# 18
The following is a DFT calculation (PBE) of a relaxed structure of Y3HgC.

The structure in POSCAR format:
```
Y3HgC
1.0
-3.362 3.362 6.147
3.362 -3.362 6.147
3.362 3.362 -6.147
Y Hg C
6 2 2
Direct
0.131 0.131 0.000 Y
0.360 0.615 0.746 Y
0.385 0.131 0.746 Y
0.385 0.640 0.254 Y
0.869 0.615 0.254 Y
0.869 0.869 0.000 Y
0.618 0.118 0.500 Hg
0.882 0.382 0.500 Hg
0.250 0.750 0.500 C
0.500 0.500 0.000 C
```

Properties
The value obtained for the total magnetization is 0.322 μB per formula unit. The calculation puts the formation enthalpy at 0 K at 0.81 eV per formula unit. As for the electronic total energy: -5.6218 eV per atom. The space group is I-4m2 (119). The calculation puts the offset from the most stable computed form at 0.5904 eV per atom.

# 19
The following is a DFT calculation (PBE) of a relaxed structure of Pm2PrDyEr5.

The structure in POSCAR format:
```
Pm2PrDyEr5
1.0
-4.367 4.367 7.649
4.367 -4.367 7.649
4.367 4.367 -7.649
Pm Pr Dy Er
4 2 2 10
Direct
0.116 0.616 0.732 Pm
0.384 0.116 0.500 Pm
0.616 0.884 0.500 Pm
0.884 0.384 0.268 Pm
0.250 0.250 0.000 Pr
0.750 0.750 0.000 Pr
0.250 0.750 0.500 Dy
0.750 0.250 0.500 Dy
0.000 0.000 0.000 Er
0.073 0.154 0.500 Er
0.154 0.654 0.081 Er
0.346 0.427 0.500 Er
0.427 0.927 0.081 Er
0.500 0.500 0.000 Er
0.573 0.073 0.919 Er
0.654 0.573 0.500 Er
0.846 0.346 0.919 Er
0.927 0.846 0.500 Er
```

Properties
The value obtained for the total magnetization is 0.000 μB per formula unit. The calculation puts the formation enthalpy at 0 K at 2.37 eV per formula unit. As for the electronic total energy: -4.3697 eV per atom. The space group is I4/mcm (140).

# 20
The following is a DFT calculation (PBE) of a relaxed structure of LiIn2Ag.

The structure in POSCAR format:
```
LiIn2Ag
1.0
-1.590 2.218 7.044
1.590 -2.218 7.044
1.590 2.218 -7.044
Li In Ag
1 2 1
Direct
0.000 0.000 0.000 Li
0.306 0.306 0.000 In
0.694 0.694 0.000 In
0.500 0.500 0.000 Ag
```

Properties
The value obtained for the total magnetization is 0.000 μB per formula unit. The calculation puts the formation enthalpy at 0 K at 0.08 eV per formula unit. As for the electronic total energy: -2.5406 eV per atom. The space group is Immm (71).